A plane-wave DFT calculation with PBE with a Hubbard U was carried out for LiPaCoO4 after structural relaxation.

Cell lengths 6.3555, 6.3555, 6.3555 Å; angles 122.93, 111.95, 94.73 degrees
Closest atoms and distances in Å follow each position.
Fractional coordinates of all 14 atoms:
Li 0.3762 0.1262 0.2500  2 O 1.97
Li 0.6238 0.8738 0.7500  2 O 1.97
Pa 0.0000 0.5000 0.5000  6 O 2.12-2.24
Pa 0.5000 0.5000 0.0000  6 O 2.12-2.24
Co 0.0000 0.0000 0.5000  6 O 2.13-2.21
Co 0.0000 0.5000 0.0000  6 O 2.13-2.21
O 0.2048 0.7441 0.4607  1 Pa 2.12, 2 Co 2.13, 1 Li 2.34
O 0.2166 0.2559 0.9607  1 Pa 2.12, 2 Co 2.13, 1 Li 2.34
O 0.2562 0.2830 0.5267  1 Li 1.97
O 0.2562 0.7295 0.9733  1 Li 1.97
O 0.7438 0.2705 0.0267  1 Li 1.97
O 0.7438 0.7170 0.4733  1 Li 1.97
O 0.7834 0.7441 0.0393  1 Pa 2.12, 2 Co 2.13, 1 Li 2.34
O 0.7952 0.2559 0.5393  1 Pa 2.12, 2 Co 2.13, 1 Li 2.34

Summary:
Fermi-level density of states: 0.000 states/eV/cell
Symmetry: Imma
VASP energy: -7.678 eV/atom
Calculated volume: 185.89 Å³ per cell
Size of the total moment: 5.96 Bohr magnetons per cell